# 1
# AgHg2Os2

A geometry-optimized AgHg2Os2 structure (PBE, the Alexandria database). Values from VASP.

Quantum ESPRESSO input file:
```
&SYSTEM
  ibrav = 0, nat = 5, ntyp = 3
/
ATOMIC_SPECIES
Ag 107.87 Ag.upf
Hg 200.59 Hg.upf
Os 190.23 Os.upf
CELL_PARAMETERS angstrom
-2.5792 2.5792 3.9962
2.5792 -2.5792 3.9962
2.5792 2.5792 -3.9962
ATOMIC_POSITIONS crystal
Ag 0.0000 0.0000 0.0000
Hg 0.2500 0.7500 0.5000
Hg 0.7500 0.2500 0.5000
Os 0.3593 0.3593 0.0000
Os 0.6407 0.6407 0.0000
```

Calculated values
E: -4.03 eV/atom
E_form: 1.15 eV/atom



# 2
# AgHgOs2

A geometry-optimized AgHgOs2 structure (PBE, the Alexandria database). Values from VASP.

Quantum ESPRESSO input file:
```
&SYSTEM
  ibrav = 0, nat = 4, ntyp = 3
/
ATOMIC_SPECIES
Ag 107.87 Ag.upf
Hg 200.59 Hg.upf
Os 190.23 Os.upf
CELL_PARAMETERS angstrom
1.4003 -2.3941 0.0000
1.4003 2.3941 0.0000
0.0000 0.0000 10.0060
ATOMIC_POSITIONS crystal
Ag 0.0000 0.0000 0.0000
Hg 0.0000 0.0000 0.5000
Os 0.5000 0.5000 0.2454
Os 0.5000 0.5000 0.7546
```

Calculated values
E: -5.47 eV/atom
E_form: 0.93 eV/atom



# 3
# AgHgOs2

A geometry-optimized AgHgOs2 structure (PBE, the Alexandria database). Values from VASP.

Quantum ESPRESSO input file:
```
&SYSTEM
  ibrav = 0, nat = 8, ntyp = 3
/
ATOMIC_SPECIES
Ag 107.87 Ag.upf
Hg 200.59 Hg.upf
Os 190.23 Os.upf
CELL_PARAMETERS angstrom
-3.7854 3.7854 2.5873
3.7854 -3.7854 2.5873
3.7854 3.7854 -2.5873
ATOMIC_POSITIONS crystal
Ag 0.0000 0.0000 0.0000
Ag 0.7500 0.2500 0.5000
Hg 0.2500 0.7500 0.5000
Hg 0.5000 0.5000 0.0000
Os 0.1191 0.6250 0.9941
Os 0.3750 0.3691 0.4941
Os 0.6309 0.1250 0.0059
Os 0.8750 0.8809 0.5059
```

Calculated values
E: -4.87 eV/atom
E_form: 1.54 eV/atom



# 4
# AgHgOs4

A geometry-optimized AgHgOs4 structure (PBE, the Alexandria database). Values from VASP.

Quantum ESPRESSO input file:
```
&SYSTEM
  ibrav = 0, nat = 6, ntyp = 3
/
ATOMIC_SPECIES
Ag 107.87 Ag.upf
Hg 200.59 Hg.upf
Os 190.23 Os.upf
CELL_PARAMETERS angstrom
0.0000 3.7070 3.7070
3.7070 0.0000 3.7070
3.7070 3.7070 0.0000
ATOMIC_POSITIONS crystal
Ag 0.0000 0.0000 0.0000
Hg 0.2500 0.2500 0.2500
Os 0.1246 0.6251 0.6251
Os 0.6251 0.1246 0.6251
Os 0.6251 0.6251 0.1246
Os 0.6251 0.6251 0.6251
```

Calculated values
E: -7.02 eV/atom
E_form: 0.99 eV/atom



# 5
# AgHgOs

A geometry-optimized AgHgOs structure (PBE, the Alexandria database). Values from VASP.

Quantum ESPRESSO input file:
```
&SYSTEM
  ibrav = 0, nat = 3, ntyp = 3
/
ATOMIC_SPECIES
Ag 107.87 Ag.upf
Hg 200.59 Hg.upf
Os 190.23 Os.upf
CELL_PARAMETERS angstrom
0.0000 3.1833 3.1833
3.1833 0.0000 3.1833
3.1833 3.1833 0.0000
ATOMIC_POSITIONS crystal
Ag 0.0000 0.0000 0.0000
Hg 0.5000 0.5000 0.5000
Os 0.2500 0.2500 0.2500
```

Calculated values
Distance to the lowest polymorph of the same formula: 0.600 eV per atom
E: -3.51 eV/atom
E_form: 1.29 eV/atom



# 6
# AgHgOs

A geometry-optimized AgHgOs structure (PBE, the Alexandria database). Values from VASP.

Quantum ESPRESSO input file:
```
&SYSTEM
  ibrav = 0, nat = 3, ntyp = 3
/
ATOMIC_SPECIES
Ag 107.87 Ag.upf
Hg 200.59 Hg.upf
Os 190.23 Os.upf
CELL_PARAMETERS angstrom
-1.3601 2.1798 4.4496
1.3601 -2.1798 4.4496
1.3601 2.1798 -4.4496
ATOMIC_POSITIONS crystal
Ag 0.0000 0.0000 0.0000
Hg 0.6729 0.6729 0.0000
Os 0.3416 0.3416 0.0000
```

Calculated values
Distance to the lowest polymorph of the same formula: 0.196 eV per atom
E: -3.91 eV/atom
E_form: 0.88 eV/atom



Number 1: DOS(E_F) 4.62 states/eV per cell. Number 2: DOS(E_F) 4.37 states/eV per cell. Number 3: DOS(E_F) 11.84 states/eV per cell. Number 4: DOS(E_F) 8.55 states/eV per cell. Number 5: DOS(E_F) 2.94 states/eV per cell. Number 6: DOS(E_F) 2.08 states/eV per cell.